[1]
ScRe2Hg | PBE | optimized geometry

The structure belongs to space group Imm2 (No. 44); the cell edges are 3.909, 4.529 and 8.037 Å and the angles 90.00°, 90.00° and 90.00°. The distinct sites, in fractional coordinates, are Sc at (0.000, 0.000, 0.000), Re at (0.000, 0.000, 0.465), Re at (0.000, 0.500, 0.769) and Hg at (0.000, 0.500, 0.230).

Its formation energy is 0.26 eV/atom.

---

[2]
Tb2PaCu | PBE | optimized geometry

The structure belongs to space group P4/mmm (No. 123); the cell edges are 3.429, 3.429 and 8.304 Å and the angles 90.00°, 90.00° and 90.00°. The distinct sites, in fractional coordinates, are Tb at (0.000, 0.000, 0.214), Pa at (0.500, 0.500, 0.500) and Cu at (0.500, 0.500, 0.000).

Its formation energy is 0.02 eV/atom.

---

[3]
PuThScTl | PBE | optimized geometry

The structure belongs to space group F-43m (No. 216); the cell edges are 7.479, 7.479 and 7.479 Å and the angles 90.00°, 90.00° and 90.00°. The distinct sites, in fractional coordinates, are Pu at (0.000, 0.000, 0.000), Th at (0.250, 0.250, 0.250), Sc at (0.000, 0.000, 0.500) and Tl at (0.250, 0.250, 0.750).

Its formation energy is 0.12 eV/atom.